# 1
## Na2Cr2As (PBE-GGA)

Data for a relaxed Na2Cr2As crystal.

Geometry as CIF:
```
data_Na2Cr2As
_chemical_formula_sum 'Na4 Cr4 As2'
_space_group_name_H-M_alt 'P 4/m b m'
_space_group_IT_number 127
_space_group_name_Hall '-P 4 2ab'
_cell_length_a 8.6090
_cell_length_b 8.6090
_cell_length_c 2.8656
_cell_angle_alpha 90.00
_cell_angle_beta 90.00
_cell_angle_gamma 90.00
loop_
_atom_site_label
_atom_site_fract_x
_atom_site_fract_y
_atom_site_fract_z
Na1 0.2114 0.2886 0.0000
Cr1 0.0727 0.5727 0.5000
As1 0.0000 0.0000 0.0000
```

Summary:
polymorph energy (0 for the lowest one) = 418.1 meV per atom
DOS(E_F) = 7.0 states/eV per cell
calculated formation energy = 905 meV/atom
theoretical density = 3.5 Mg/m³
magnetization = 0.0 μB per cell

# 2
## K2TaMo (PBE-GGA)

Data for a relaxed K2TaMo crystal.

Geometry as CIF:
```
data_K2TaMo
_chemical_formula_sum 'K2 Ta1 Mo1'
_space_group_name_H-M_alt 'P 4/m m m'
_space_group_IT_number 123
_space_group_name_Hall '-P 4 2'
_cell_length_a 2.7756
_cell_length_b 2.7756
_cell_length_c 12.7102
_cell_angle_alpha 90.00
_cell_angle_beta 90.00
_cell_angle_gamma 90.00
loop_
_atom_site_label
_atom_site_fract_x
_atom_site_fract_y
_atom_site_fract_z
K1 0.0000 0.0000 0.2392
Ta1 0.5000 0.5000 0.5000
Mo1 0.5000 0.5000 0.0000
```

Summary:
polymorph energy (0 for the lowest one) = 760.9 meV per atom
DOS(E_F) = 5.1 states/eV per cell
calculated formation energy = 1536 meV/atom
theoretical density = 6.0 Mg/m³
magnetization = 0.6 μB per cell

# 3
## LaNiOs2 (PBE-GGA)

Data for a relaxed LaNiOs2 crystal.

Geometry as CIF:
```
data_LaNiOs2
_chemical_formula_sum 'La2 Ni2 Os4'
_space_group_name_H-M_alt 'I m m 2'
_space_group_IT_number 44
_space_group_name_Hall 'I 2 -2'
_cell_length_a 2.9551
_cell_length_b 4.9361
_cell_length_c 9.6778
_cell_angle_alpha 90.00
_cell_angle_beta 90.00
_cell_angle_gamma 90.00
loop_
_atom_site_label
_atom_site_fract_x
_atom_site_fract_y
_atom_site_fract_z
La1 0.0000 0.0000 0.0000
Ni1 0.0000 0.5000 0.2251
Os1 0.0000 0.0000 0.5054
Os2 0.0000 0.5000 0.7826
```

Summary:
polymorph energy (0 for the lowest one) = 639.8 meV per atom
DOS(E_F) = 11.3 states/eV per cell
calculated formation energy = 560 meV/atom
theoretical density = 13.6 Mg/m³
magnetization = 0.0 μB per cell

# 4
## CoP2Se (PBE-GGA)

Data for a relaxed CoP2Se crystal.

Geometry as CIF:
```
data_CoP2Se
_chemical_formula_sum 'Co1 P2 Se1'
_space_group_name_H-M_alt 'P 4/m m m'
_space_group_IT_number 123
_space_group_name_Hall '-P 4 2'
_cell_length_a 2.6278
_cell_length_b 2.6278
_cell_length_c 10.7776
_cell_angle_alpha 90.00
_cell_angle_beta 90.00
_cell_angle_gamma 90.00
loop_
_atom_site_label
_atom_site_fract_x
_atom_site_fract_y
_atom_site_fract_z
Co1 0.0000 0.0000 0.0000
P1 0.5000 0.5000 0.1411
Se1 0.0000 0.0000 0.5000
```

Summary:
DOS(E_F) = 2.6 states/eV per cell
theoretical density = 4.5 Mg/m³
uncorrected formation energy = 0.044 eV/atom
magnetization = 0.5 μB per cell

# 5
## MgUSn2 (PBE-GGA)

Data for a relaxed MgUSn2 crystal.

Geometry as CIF:
```
data_MgUSn2
_chemical_formula_sum 'Mg4 U4 Sn8'
_space_group_name_H-M_alt 'F m -3 m'
_space_group_IT_number 225
_space_group_name_Hall '-F 4 2 3'
_cell_length_a 7.3898
_cell_length_b 7.3898
_cell_length_c 7.3898
_cell_angle_alpha 90.00
_cell_angle_beta 90.00
_cell_angle_gamma 90.00
loop_
_atom_site_label
_atom_site_fract_x
_atom_site_fract_y
_atom_site_fract_z
Mg1 0.0000 0.0000 0.0000
U1 0.0000 0.0000 0.5000
Sn1 0.2500 0.2500 0.2500
```

Summary:
DOS(E_F) = 36.5 states/eV per cell
calculated formation energy = 68 meV/atom
theoretical density = 8.2 Mg/m³
magnetization = 12.3 μB per cell

# 6
## Zn3SbIr (PBE-GGA)

Data for a relaxed Zn3SbIr crystal.

Geometry as CIF:
```
data_Zn3SbIr
_chemical_formula_sum 'Zn3 Sb1 Ir1'
_space_group_name_H-M_alt 'P m -3 m'
_space_group_IT_number 221
_space_group_name_Hall '-P 4 2 3'
_cell_length_a 4.8060
_cell_length_b 4.8060
_cell_length_c 4.8060
_cell_angle_alpha 90.00
_cell_angle_beta 90.00
_cell_angle_gamma 90.00
loop_
_atom_site_label
_atom_site_fract_x
_atom_site_fract_y
_atom_site_fract_z
Zn1 0.0000 0.0000 0.5000
Sb1 0.5000 0.5000 0.5000
Ir1 0.0000 0.0000 0.0000
```

Summary:
polymorph energy (0 for the lowest one) = 0.0 meV per atom
DOS(E_F) = 4.8 states/eV per cell
theoretical density = 7.6 Mg/m³
uncorrected formation energy = 0.357 eV/atom
magnetization = 0.0 μB per cell

# 7
## Sm2ErTh3 (PBE-GGA)

Data for a relaxed Sm2ErTh3 crystal.

Geometry as CIF:
```
data_Sm2ErTh3
_chemical_formula_sum 'Sm8 Er4 Th12'
_space_group_name_H-M_alt 'C m c m'
_space_group_IT_number 63
_space_group_name_Hall '-C 2c 2'
_cell_length_a 10.2642
_cell_length_b 11.3681
_cell_length_c 6.7519
_cell_angle_alpha 90.00
_cell_angle_beta 90.00
_cell_angle_gamma 90.00
loop_
_atom_site_label
_atom_site_fract_x
_atom_site_fract_y
_atom_site_fract_z
Sm1 0.1670 0.2302 0.2500
Er1 0.0000 0.2709 0.7500
Th1 0.0000 0.0000 0.0000
Th2 0.1658 0.5000 0.0000
```

Summary:
DOS(E_F) = 30.1 states/eV per cell
calculated formation energy = 191 meV/atom
theoretical density = 9.8 Mg/m³
magnetization = 0.0 μB per cell

# 8
## FePC3 (PBE-GGA)

Data for a relaxed FePC3 crystal.

Geometry as CIF:
```
data_FePC3
_chemical_formula_sum 'Fe2 P2 C6'
_space_group_name_H-M_alt 'C 1 m 1'
_space_group_IT_number 8
_space_group_name_Hall 'C -2y'
_cell_length_a 6.3322
_cell_length_b 2.4987
_cell_length_c 6.5921
_cell_angle_alpha 90.00
_cell_angle_beta 101.03
_cell_angle_gamma 90.00
loop_
_atom_site_label
_atom_site_fract_x
_atom_site_fract_y
_atom_site_fract_z
Fe1 0.0000 0.0000 0.0000
P1 0.2405 0.0000 0.3426
C1 0.3166 0.0000 0.0924
C2 0.4048 0.0000 0.6061
C3 0.4378 0.5000 0.7068
```

Summary:
polymorph energy (0 for the lowest one) = 400.2 meV per atom
DOS(E_F) = 4.5 states/eV per cell
calculated formation energy = 723 meV/atom
theoretical density = 4.0 Mg/m³
magnetization = 0.7 μB per cell